Below is a relaxed structure of Nd2ThGa6, with properties calculated at the GGA-PBE level.

Cell and atoms, written as CIF:
```
data_Nd2ThGa6
_cell_length_a 4.331
_cell_length_b 7.269
_cell_length_c 13.796
_cell_angle_alpha 90.00
_cell_angle_beta 90.00
_cell_angle_gamma 90.00
_symmetry_space_group_name_H-M 'I m m m'
_symmetry_Int_Tables_number 71
_symmetry_space_group_name_Hall '-I 2 2'
loop_
_atom_site_label
_atom_site_type_symbol
_atom_site_fract_x
_atom_site_fract_y
_atom_site_fract_z
Nd1 Nd 0.000 0.000 0.139
Th1 Th 0.000 0.500 0.000
Ga1 Ga 0.000 0.180 0.334
Ga2 Ga 0.000 0.323 0.500
```

Values from the calculation:
Energy of formation   -3.62 eV per formula unit

=====

Below is a relaxed structure of HfRu2Rh, with properties calculated at the GGA-PBE level.

Cell and atoms, written as CIF:
```
data_HfRu2Rh
_cell_length_a 3.777
_cell_length_b 3.777
_cell_length_c 18.902
_cell_angle_alpha 90.00
_cell_angle_beta 90.00
_cell_angle_gamma 90.00
_symmetry_space_group_name_H-M 'I -4 2 d'
_symmetry_Int_Tables_number 122
_symmetry_space_group_name_Hall 'I -4 2bw'
loop_
_atom_site_label
_atom_site_type_symbol
_atom_site_fract_x
_atom_site_fract_y
_atom_site_fract_z
Hf1 Hf 0.000 0.000 0.000
Ru1 Ru 0.220 0.250 0.625
Rh1 Rh 0.000 0.000 0.500
```

Values from the calculation:
Energy of formation   0.51 eV per formula unit

=====

Below is a relaxed structure of NaLiZnN, with properties calculated at the GGA-PBE level.

Cell and atoms, written as CIF:
```
data_NaLiZnN
_cell_length_a 3.489
_cell_length_b 3.885
_cell_length_c 9.895
_cell_angle_alpha 90.00
_cell_angle_beta 90.00
_cell_angle_gamma 90.00
_symmetry_space_group_name_H-M 'I m m 2'
_symmetry_Int_Tables_number 44
loop_
_symmetry_equiv_pos_as_xyz
'x,y,z'
'-x,-y,z'
'-x,y,z'
'x,-y,z'
'x+1/2,y+1/2,z+1/2'
'-x+1/2,-y+1/2,z+1/2'
'-x+1/2,y+1/2,z+1/2'
'x+1/2,-y+1/2,z+1/2'
loop_
_atom_site_label
_atom_site_type_symbol
_atom_site_fract_x
_atom_site_fract_y
_atom_site_fract_z
Na1 Na 0.000 0.000 0.000
Li1 Li 0.000 0.000 0.319
Zn1 Zn 0.000 0.000 0.701
N1 N 0.000 0.500 0.289
```

Values from the calculation:
Formation energy (no corrections)   -25 meV per atom

=====

Below is a relaxed structure of PmCuPbCl6, with properties calculated at the GGA-PBE level.

Cell and atoms, written as CIF:
```
data_PmCuPbCl6
_cell_length_a 6.7235
_cell_length_b 6.7235
_cell_length_c 12.9834
_cell_angle_alpha 90.00
_cell_angle_beta 90.00
_cell_angle_gamma 120.00
_symmetry_space_group_name_H-M 'P -3 1 c'
_symmetry_Int_Tables_number 163
_symmetry_space_group_name_Hall '-P 3 2c'
loop_
_atom_site_label
_atom_site_type_symbol
_atom_site_fract_x
_atom_site_fract_y
_atom_site_fract_z
Pm1 Pm 0.3333 0.6667 0.2500
Cu1 Cu 0.3333 0.6667 0.7500
Pb1 Pb 0.0000 0.0000 0.0000
Cl1 Cl 0.0191 0.3619 0.6336
```

Values from the calculation:
Formation energy (no corrections)   -1437 meV per atom

=====

Below is a relaxed structure of Co2NiBr, with properties calculated at the GGA-PBE level.

Cell and atoms, written as CIF:
```
data_Co2NiBr
_cell_length_a 7.878
_cell_length_b 2.866
_cell_length_c 7.131
_cell_angle_alpha 90.00
_cell_angle_beta 120.75
_cell_angle_gamma 90.00
_symmetry_space_group_name_H-M 'C 1 2/m 1'
_symmetry_Int_Tables_number 12
loop_
_symmetry_equiv_pos_as_xyz
'x,y,z'
'-x,-y,-z'
'-x,y,-z'
'x,-y,z'
'x+1/2,y+1/2,z'
'-x+1/2,-y+1/2,-z'
'-x+1/2,y+1/2,-z'
'x+1/2,-y+1/2,z'
loop_
_atom_site_label
_atom_site_type_symbol
_atom_site_fract_x
_atom_site_fract_y
_atom_site_fract_z
Co1 Co 0.147 0.000 0.351
Ni1 Ni 0.000 0.500 0.500
Br1 Br 0.000 0.500 0.000
```

Values from the calculation:
Formation energy (no corrections)   503 meV per atom

=====

Below is a relaxed structure of Pr4CuCCl2, with properties calculated at the GGA-PBE level.

Cell and atoms, written as CIF:
```
data_Pr4CuCCl2
_cell_length_a 7.153
_cell_length_b 3.941
_cell_length_c 7.364
_cell_angle_alpha 90.00
_cell_angle_beta 107.39
_cell_angle_gamma 90.00
_symmetry_space_group_name_H-M 'P 1 2/m 1'
_symmetry_Int_Tables_number 10
loop_
_symmetry_equiv_pos_as_xyz
'x,y,z'
'-x,-y,-z'
'-x,y,-z'
'x,-y,z'
loop_
_atom_site_label
_atom_site_type_symbol
_atom_site_fract_x
_atom_site_fract_y
_atom_site_fract_z
Pr1 Pr 0.210 0.000 0.202
Pr2 Pr 0.237 0.500 0.784
Cu1 Cu 0.500 0.000 0.000
C1 C 0.000 0.500 0.000
Cl1 Cl 0.000 0.000 0.500
Cl2 Cl 0.500 0.500 0.500
```

Values from the calculation:
Formation energy (no corrections)   -818 meV per atom

=====

Below is a relaxed structure of CaTlIn2Sn, with properties calculated at the GGA-PBE level.

Cell and atoms, written as CIF:
```
data_CaTlIn2Sn
_cell_length_a 4.461
_cell_length_b 11.409
_cell_length_c 11.530
_cell_angle_alpha 90.00
_cell_angle_beta 90.00
_cell_angle_gamma 90.00
_symmetry_space_group_name_H-M 'C m c m'
_symmetry_Int_Tables_number 63
_symmetry_space_group_name_Hall '-C 2c 2'
loop_
_atom_site_label
_atom_site_type_symbol
_atom_site_fract_x
_atom_site_fract_y
_atom_site_fract_z
Ca1 Ca 0.000 0.079 0.250
Tl1 Tl 0.000 0.500 0.000
In1 In 0.000 0.224 0.591
Sn1 Sn 0.000 0.366 0.250
```

Values from the calculation:
Energy of formation   -0.98 eV per formula unit

=====

Below is a relaxed structure of Ti2ReRhF, with properties calculated at the GGA-PBE level.

Cell and atoms, written as CIF:
```
data_Ti2ReRhF
_cell_length_a 4.163
_cell_length_b 4.163
_cell_length_c 4.064
_cell_angle_alpha 90.00
_cell_angle_beta 90.00
_cell_angle_gamma 90.00
_symmetry_space_group_name_H-M 'P 4/m m m'
_symmetry_Int_Tables_number 123
_symmetry_space_group_name_Hall '-P 4 2'
loop_
_atom_site_label
_atom_site_type_symbol
_atom_site_fract_x
_atom_site_fract_y
_atom_site_fract_z
Ti1 Ti 0.000 0.500 0.000
Re1 Re 0.000 0.000 0.500
Rh1 Rh 0.500 0.500 0.500
F1 F 0.000 0.000 0.000
```

Values from the calculation:
Formation energy (no corrections)   -154 meV per atom

=====

Below is a relaxed structure of DyErC2, with properties calculated at the GGA-PBE level.

Cell and atoms, written as CIF:
```
data_DyErC2
_cell_length_a 3.5772
_cell_length_b 3.5772
_cell_length_c 17.4769
_cell_angle_alpha 90.00
_cell_angle_beta 90.00
_cell_angle_gamma 120.00
_symmetry_space_group_name_H-M 'R -3 m'
_symmetry_Int_Tables_number 166
_symmetry_space_group_name_Hall '-R 3 2"'
loop_
_atom_site_label
_atom_site_type_symbol
_atom_site_fract_x
_atom_site_fract_y
_atom_site_fract_z
Dy1 Dy 0.0000 0.0000 0.0000
Er1 Er 0.0000 0.0000 0.5000
C1 C 0.0000 0.0000 0.2490
```

Values from the calculation:
Energy of formation   0.04 eV per formula unit

=====

Below is a relaxed structure of Ti3NiS6, with properties calculated at the GGA-PBE level.

Cell and atoms, written as CIF:
```
data_Ti3NiS6
_cell_length_a 5.8657
_cell_length_b 5.8657
_cell_length_c 11.3738
_cell_angle_alpha 90.00
_cell_angle_beta 90.00
_cell_angle_gamma 120.00
_symmetry_space_group_name_H-M 'P -3 1 c'
_symmetry_Int_Tables_number 163
_symmetry_space_group_name_Hall '-P 3 2c'
loop_
_atom_site_label
_atom_site_type_symbol
_atom_site_fract_x
_atom_site_fract_y
_atom_site_fract_z
Ti1 Ti 0.0000 0.0000 0.0000
Ti2 Ti 0.3333 0.6667 0.0054
Ni1 Ni 0.3333 0.6667 0.7500
S1 S 0.0046 0.3354 0.8720
```

Values from the calculation:
Formation energy (no corrections)   -1197 meV per atom

=====

Below is a relaxed structure of KPu4F10, with properties calculated at the GGA-PBE level.

Cell and atoms, written as CIF:
```
data_KPu4F10
_cell_length_a 4.123
_cell_length_b 4.123
_cell_length_c 30.437
_cell_angle_alpha 90.00
_cell_angle_beta 90.00
_cell_angle_gamma 90.00
_symmetry_space_group_name_H-M 'I 4/m m m'
_symmetry_Int_Tables_number 139
_symmetry_space_group_name_Hall '-I 4 2'
loop_
_atom_site_label
_atom_site_type_symbol
_atom_site_fract_x
_atom_site_fract_y
_atom_site_fract_z
K1 K 0.000 0.000 0.000
Pu1 Pu 0.000 0.000 0.201
Pu2 Pu 0.000 0.000 0.401
F1 F 0.000 0.500 0.059
F2 F 0.000 0.500 0.153
F3 F 0.000 0.500 0.250
```

Values from the calculation:
Formation energy (no corrections)   -3248 meV per atom

=====

Below is a relaxed structure of Rb2TlSn4Hg3, with properties calculated at the GGA-PBE level.

Cell and atoms, written as CIF:
```
data_Rb2TlSn4Hg3
_cell_length_a 5.080
_cell_length_b 5.080
_cell_length_c 12.494
_cell_angle_alpha 90.00
_cell_angle_beta 90.00
_cell_angle_gamma 90.00
_symmetry_space_group_name_H-M 'P -4 m 2'
_symmetry_Int_Tables_number 115
loop_
_symmetry_equiv_pos_as_xyz
'x,y,z'
'y,-x,-z'
'-x,-y,z'
'-y,x,-z'
'-x,y,z'
'-y,-x,-z'
'x,-y,z'
'y,x,-z'
loop_
_atom_site_label
_atom_site_type_symbol
_atom_site_fract_x
_atom_site_fract_y
_atom_site_fract_z
Rb1 Rb 0.000 0.500 0.249
Tl1 Tl 0.500 0.500 0.000
Sn1 Sn 0.000 0.000 0.500
Sn2 Sn 0.000 0.500 0.865
Sn3 Sn 0.500 0.500 0.500
Hg1 Hg 0.000 0.000 0.000
Hg2 Hg 0.000 0.500 0.635
```

Values from the calculation:
Energy of formation   -1.30 eV per formula unit

=====

no.,DOS(E_F) (states/eV per cell),magnetization (μB per cell)
1,14.0,0.00
2,22.0,0.00
3,4.1,0.00
4,0.0,0.21
5,10.6,8.76
6,6.3,0.00
7,9.0,0.00
8,4.7,0.00
9,13.8,0.00
10,6.9,0.00
11,61.7,1.14
12,5.0,0.00